4
Lattice="1.513 0.873 6.902 -1.513 0.873 6.902 0.000 -1.747 6.902" Properties=species:S:1:pos:R:3 comment="ReSbN2 | the Alexandria database | GGA-PBE | optimized geometry" raw_formation_energy_ev_per_atom=0.37 total_energy_ev_per_cell=-31.73 density_g_cm3=10.20 pbc="T T T"
Re 0.000 0.000 0.000
Sb 0.000 0.000 10.353
N 0.000 0.000 8.061
N 0.000 0.000 12.646


5
Lattice="3.960 0.000 0.000 0.000 3.960 0.000 0.000 0.000 5.831" Properties=species:S:1:pos:R:3 comment="ReSbSeN2 | the Alexandria database | GGA-PBE | optimized geometry" raw_formation_energy_ev_per_atom=1.92 de_polymorph_kj_per_mol_atoms=126.6 total_energy_ev_per_cell=-27.13 density_g_cm3=7.54 pbc="T T T"
Re 0.000 0.000 0.000
Sb 1.980 1.980 2.915
Se 1.980 1.980 0.000
N 0.000 1.980 2.915
N 1.980 0.000 2.915


5
Lattice="5.347 0.000 0.000 0.000 5.347 0.000 0.000 0.000 3.856" Properties=species:S:1:pos:R:3 comment="ReSbSe2N | the Alexandria database | GGA-PBE | optimized geometry" raw_formation_energy_ev_per_atom=1.65 de_polymorph_kj_per_mol_atoms=132.4 total_energy_ev_per_cell=-23.60 density_g_cm3=7.23 pbc="T T T"
Re 0.000 0.000 0.000
Sb 2.673 2.673 1.928
Se 0.000 2.673 1.928
Se 2.673 0.000 1.928
N 2.673 2.673 0.000


5
Lattice="5.129 0.000 0.000 0.000 5.129 0.000 0.000 0.000 3.755" Properties=species:S:1:pos:R:3 comment="ReSbSe2N | the Alexandria database | GGA-PBE | optimized geometry" raw_formation_energy_ev_per_atom=0.28 de_polymorph_kj_per_mol_atoms=0.0 total_energy_ev_per_cell=-30.46 density_g_cm3=8.07 pbc="T T T"
Re 0.000 0.000 0.000
Sb 2.564 2.564 1.878
Se 0.000 2.564 0.000
Se 2.564 0.000 0.000
N 0.000 0.000 1.878


5
Lattice="3.950 0.000 0.000 0.000 3.950 0.000 0.000 0.000 5.323" Properties=species:S:1:pos:R:3 comment="ReSbSeN2 | the Alexandria database | GGA-PBE | optimized geometry" raw_formation_energy_ev_per_atom=0.60 de_polymorph_kj_per_mol_atoms=0.0 total_energy_ev_per_cell=-33.69 density_g_cm3=8.30 pbc="T T T"
Re 0.000 0.000 0.000
Sb 1.975 1.975 2.662
Se 0.000 0.000 2.662
N 0.000 1.975 0.000
N 1.975 0.000 0.000


5
Lattice="4.020 0.000 0.000 0.000 4.020 0.000 0.000 0.000 5.693" Properties=species:S:1:pos:R:3 comment="ReSbTeN2 | the Alexandria database | GGA-PBE | optimized geometry" raw_formation_energy_ev_per_atom=0.79 de_polymorph_kj_per_mol_atoms=0.0 total_energy_ev_per_cell=-32.43 density_g_cm3=8.37 pbc="T T T"
Re 0.000 0.000 0.000
Sb 2.010 2.010 2.846
Te 0.000 0.000 2.846
N 0.000 2.010 0.000
N 2.010 0.000 0.000


5
Lattice="5.488 0.000 0.000 0.000 5.488 0.000 0.000 0.000 3.773" Properties=species:S:1:pos:R:3 comment="ReSbTe2N | the Alexandria database | GGA-PBE | optimized geometry" raw_formation_energy_ev_per_atom=0.32 de_polymorph_kj_per_mol_atoms=0.0 total_energy_ev_per_cell=-29.56 density_g_cm3=8.43 pbc="T T T"
Re 0.000 0.000 0.000
Sb 2.744 2.744 1.887
Te 0.000 2.744 0.000
Te 2.744 0.000 0.000
N 0.000 0.000 1.887


5
Lattice="4.008 0.000 0.000 0.000 4.008 0.000 0.000 0.000 6.601" Properties=species:S:1:pos:R:3 comment="ReSbTeN2 | the Alexandria database | GGA-PBE | optimized geometry" raw_formation_energy_ev_per_atom=1.96 de_polymorph_kj_per_mol_atoms=112.7 total_energy_ev_per_cell=-26.59 density_g_cm3=7.26 pbc="T T T"
Re 0.000 0.000 0.000
Sb 2.004 2.004 3.301
Te 2.004 2.004 0.000
N 0.000 2.004 3.301
N 2.004 0.000 3.301